1.
{"formula": "Na2CdPd2", "functional": "SCAN", "state": "PBEsol geometry", "total_energy_ev_per_cell": -210.6, "mass_density_g_cm3": 6.04, "cell": [[6.7632, 0.0000, 0.0000], [0.0000, 6.7632, 0.0000], [0.0000, 0.0000, 4.4640]], "species": ["Na", "Na", "Na", "Na", "Cd", "Cd", "Pd", "Pd", "Pd", "Pd"], "fractional_positions": [[0.1670, 0.3330, 0.0000], [0.3330, 0.8330, 0.0000], [0.6670, 0.1670, 0.0000], [0.8330, 0.6670, 0.0000], [0.0000, 0.0000, 0.5000], [0.5000, 0.5000, 0.5000], [0.1348, 0.6348, 0.5000], [0.3652, 0.1348, 0.5000], [0.6348, 0.8652, 0.5000], [0.8652, 0.3652, 0.5000]]}

2.
{"formula": "NaCd3Pd", "functional": "SCAN", "state": "PBEsol geometry", "total_energy_ev_per_cell": -123.8, "de_polymorph_mev_per_atom": 983, "mass_density_g_cm3": 6.20, "cell": [[4.9998, 0.0000, 0.0000], [0.0000, 4.9998, 0.0000], [0.0000, 0.0000, 4.9998]], "species": ["Na", "Cd", "Cd", "Cd", "Pd"], "fractional_positions": [[0.0000, 0.0000, 0.0000], [0.0000, 0.0000, 0.5000], [0.0000, 0.5000, 0.0000], [0.5000, 0.0000, 0.0000], [0.5000, 0.5000, 0.5000]]}

ΔH_f (0 K), respectively: -0.18, 0.89 eV per atom.